VASP calculation (PBE+U) on an optimized crystal structure of SrBeVF6.

Properties
M_tot = 3.0 μB/f.u.
total DFT energy (no corrections) = -5.855 eV/atom
volume = 13.34 A^3/atom
crystal system = trigonal

Unit cell a=5.2056 b=5.2056 c=10.2298 alpha=90.00 beta=90.00 gamma=120.00
Space group P-31c (No. 163)
Unique sites:
Sr  0.0000  0.0000  0.0000 x2
Be  0.3333  0.6667  0.2500 x2
V  0.3333  0.6667  0.7500 x2
F  0.0452  0.3893  0.1495 x12